*P*
Entry from Alexandria via LeMat-Bulk: an optimized crystal structure of GdY2Lu (PBE-GGA).

## Properties
As for the space group: No. 225.

Unit cell a=5.6659 b=5.6659 c=5.6659 alpha=60.00 beta=60.00 gamma=60.00
With the nearest neighbours (Å) after each atom.
Element x y z (fractional)
Gd  0.5000  0.5000  0.5000  8 Y 3.47
Y  0.2500  0.2500  0.2500  4 Gd 3.47, 4 Lu 3.47
Y  0.7500  0.7500  0.7500  4 Gd 3.47, 4 Lu 3.47
Lu  0.0000  0.0000  0.0000  8 Y 3.47

=====

*Q*
Entry from Alexandria via LeMat-Bulk: an optimized crystal structure of GdY2Lu (PBE-GGA).

## Properties
As for the space group: No. 123.

Unit cell a=5.0316 b=5.0089 c=5.0089 alpha=90.00 beta=90.00 gamma=90.00
With the nearest neighbours (Å) after each atom.
Element x y z (fractional)
Y  0.0000  0.0000  0.5000  4 Y 3.54, 4 Gd 3.55, 4 Lu 3.55
Y  0.0000  0.5000  0.0000  4 Y 3.54, 4 Gd 3.55, 4 Lu 3.55
Gd  0.5000  0.0000  0.0000  4 Lu 3.54, 8 Y 3.55
Lu  0.5000  0.5000  0.5000  4 Gd 3.54, 8 Y 3.55

=====

Which of them is most stable? Easy: *Q*.

=====

*P*
Entry from Alexandria via LeMat-Bulk: an optimized crystal structure of Gd2YLu (PBE-GGA).

## Properties
As for the space group: No. 123.

Unit cell a=3.5535 b=3.5535 c=10.0040 alpha=90.00 beta=90.00 gamma=90.00
With the nearest neighbours (Å) after each atom.
Element x y z (fractional)
Gd  0.0000  0.0000  0.7545  4 Lu 3.51, 4 Gd 3.55, 4 Y 3.58
Gd  0.0000  0.0000  0.2455  4 Lu 3.51, 4 Gd 3.55, 4 Y 3.58
Y  0.5000  0.5000  0.5000  4 Y 3.55, 8 Gd 3.58
Lu  0.5000  0.5000  0.0000  8 Gd 3.51, 4 Lu 3.55

=====

*Q*
Entry from Alexandria via LeMat-Bulk: an optimized crystal structure of Gd2YLu (PBE-GGA).

## Properties
As for the space group: No. 225.

Unit cell a=5.6516 b=5.6516 c=5.6516 alpha=60.00 beta=60.00 gamma=60.00
With the nearest neighbours (Å) after each atom.
Element x y z (fractional)
Gd  0.2500  0.2500  0.2500  4 Lu 3.46, 4 Y 3.46
Gd  0.7500  0.7500  0.7500  4 Y 3.46, 4 Lu 3.46
Y  0.0000  0.0000  0.0000  8 Gd 3.46
Lu  0.5000  0.5000  0.5000  8 Gd 3.46

=====

Which of them is most stable? Easy: *P*.

=====

*P*
Entry from Alexandria via LeMat-Bulk: an optimized crystal structure of Gd2MgMn (PBE-GGA).

## Properties
As for the space group: No. 225.

Unit cell a=5.2222 b=5.2222 c=5.2222 alpha=60.00 beta=60.00 gamma=60.00
With the nearest neighbours (Å) after each atom.
Element x y z (fractional)
Mg  0.5000  0.5000  0.5000  8 Gd 3.20
Gd  0.2500  0.2500  0.2500  4 Mg 3.20, 4 Mn 3.20
Gd  0.7500  0.7500  0.7500  4 Mn 3.20, 4 Mg 3.20
Mn  0.0000  0.0000  0.0000  8 Gd 3.20

=====

*Q*
Entry from Alexandria via LeMat-Bulk: an optimized crystal structure of Gd2MgMn (PBE-GGA).

## Properties
As for the space group: No. 123.

Unit cell a=3.6061 b=3.6061 c=7.8072 alpha=90.00 beta=90.00 gamma=90.00
With the nearest neighbours (Å) after each atom.
Element x y z (fractional)
Mg  0.5000  0.5000  0.5000  8 Gd 3.36, 4 Mg 3.61
Gd  0.0000  0.0000  0.7794  4 Mn 3.08, 4 Mg 3.36, 1 Gd 3.44
Gd  0.0000  0.0000  0.2206  4 Mn 3.08, 4 Mg 3.36, 1 Gd 3.44
Mn  0.5000  0.5000  0.0000  8 Gd 3.08

=====

Which of them is most stable? Easy: *P*.

=====

*P*
Entry from Alexandria via LeMat-Bulk: an optimized crystal structure of NaGdMg2 (PBE-GGA).

## Properties
As for the space group: No. 123.

Unit cell a=3.5967 b=5.6260 c=5.6260 alpha=90.00 beta=90.00 gamma=90.00
With the nearest neighbours (Å) after each atom.
Element x y z (fractional)
Na  0.5000  0.0000  0.0000  8 Mg 3.34, 2 Na 3.60
Mg  0.0000  0.0000  0.5000  4 Gd 3.34, 4 Na 3.34, 2 Mg 3.60
Mg  0.0000  0.5000  0.0000  4 Gd 3.34, 4 Na 3.34, 2 Mg 3.60
Gd  0.5000  0.5000  0.5000  8 Mg 3.34, 2 Gd 3.60

=====

*Q*
Entry from Alexandria via LeMat-Bulk: an optimized crystal structure of NaGdMg2 (PBE-GGA).

## Properties
As for the space group: No. 225.

Unit cell a=5.4167 b=5.4167 c=5.4167 alpha=60.00 beta=60.00 gamma=60.00
With the nearest neighbours (Å) after each atom.
Element x y z (fractional)
Na  0.5000  0.5000  0.5000  8 Mg 3.32
Mg  0.2500  0.2500  0.2500  4 Gd 3.32, 4 Na 3.32
Mg  0.7500  0.7500  0.7500  4 Na 3.32, 4 Gd 3.32
Gd  0.0000  0.0000  0.0000  8 Mg 3.32

=====

Which of them is most stable? Easy: *P*.

=====

*P*
Entry from Alexandria via LeMat-Bulk: an optimized crystal structure of NaGdMg (PBE-GGA).

## Properties
As for the space group: No. 156.

Unit cell a=3.2894 b=5.5510 c=5.5510 alpha=120.00 beta=90.00 gamma=90.00
With the nearest neighbours (Å) after each atom.
Element x y z (fractional)
Na  0.8392  0.0000  0.0000  3 Mg 3.21, 2 Na 3.29
Mg  0.8286  0.6667  0.3333  3 Na 3.21, 2 Mg 3.29
Gd  0.3321  0.3333  0.6667  2 Gd 3.29, 6 Na 3.59-3.61, 6 Mg 3.60-3.61

=====

*Q*
Entry from Alexandria via LeMat-Bulk: an optimized crystal structure of NaGdMg (PBE-GGA).

## Properties
As for the space group: No. 107.

Unit cell a=3.3759 b=3.3759 c=8.3188 alpha=101.71 beta=101.71 gamma=90.00
With the nearest neighbours (Å) after each atom.
Element x y z (fractional)
Na  0.9914  0.9914  0.9829  4 Na 3.38, 4 Mg 3.54
Mg  0.3276  0.3276  0.6551  4 Gd 3.34, 4 Mg 3.38, 4 Na 3.54
Gd  0.6810  0.6810  0.3620  4 Mg 3.34, 4 Gd 3.38

=====

Which of them is most stable? Easy: *Q*.

=====

*P*
Entry from Alexandria via LeMat-Bulk: an optimized crystal structure of Gd2MgNb (PBE-GGA).

## Properties
As for the space group: No. 166.

Unit cell a=3.2755 b=3.2755 c=11.7424 alpha=81.98 beta=81.98 gamma=60.00
With the nearest neighbours (Å) after each atom.
Element x y z (fractional)
Nb  0.5000  0.5000  0.5000  6 Gd 3.14, 6 Nb 3.28
Gd  0.0947  0.0947  0.7158  3 Nb 3.14, 6 Gd 3.28, 1 Mg 3.29
Gd  0.9053  0.9053  0.2842  3 Nb 3.14, 6 Gd 3.28, 1 Mg 3.29
Mg  0.0000  0.0000  0.0000  6 Mg 3.28, 2 Gd 3.29

=====

*Q*
Entry from Alexandria via LeMat-Bulk: an optimized crystal structure of Gd2MgNb (PBE-GGA).

## Properties
As for the space group: No. 123.

Unit cell a=3.2736 b=3.2736 c=9.6340 alpha=90.00 beta=90.00 gamma=90.00
With the nearest neighbours (Å) after each atom.
Element x y z (fractional)
Nb  0.5000  0.5000  0.0000  8 Gd 3.21, 4 Nb 3.27
Gd  0.0000  0.0000  0.7697  4 Nb 3.21, 4 Gd 3.27, 4 Mg 3.48
Gd  0.0000  0.0000  0.2303  4 Nb 3.21, 4 Gd 3.27, 4 Mg 3.48
Mg  0.5000  0.5000  0.5000  4 Mg 3.27, 8 Gd 3.48

=====

Which of them is most stable? Easy: *Q*.

=====

*P*
Entry from Alexandria via LeMat-Bulk: an optimized crystal structure of NdGdMg (PBE-GGA).

## Properties
As for the space group: No. 107.

Unit cell a=3.7642 b=3.7642 c=7.0017 alpha=105.59 beta=105.59 gamma=90.00
With the nearest neighbours (Å) after each atom.
Element x y z (fractional)
Mg  0.9480  0.9480  0.8959  4 Gd 3.33, 4 Nd 3.38
Gd  0.2933  0.2933  0.5867  4 Mg 3.33, 4 Nd 3.58
Nd  0.6087  0.6087  0.2174  4 Mg 3.38, 4 Gd 3.58, 4 Nd 3.76

=====

*Q*
Entry from Alexandria via LeMat-Bulk: an optimized crystal structure of NdGdMg (PBE-GGA).

## Properties
As for the space group: No. 156.

Unit cell a=3.4441 b=5.5226 c=5.5226 alpha=120.00 beta=90.00 gamma=90.00
With the nearest neighbours (Å) after each atom.
Element x y z (fractional)
Mg  0.6787  0.6667  0.3333  3 Gd 3.32, 3 Nd 3.36, 2 Mg 3.44
Gd  0.9499  0.0000  0.0000  3 Mg 3.32, 2 Gd 3.44, 3 Nd 3.50
Nd  0.3714  0.3333  0.6667  3 Mg 3.36, 2 Nd 3.44, 6 Gd 3.50-3.76

=====

Which of them is most stable? Easy: *P*.

=====

*P*
Entry from Alexandria via LeMat-Bulk: an optimized crystal structure of GdMgPb2 (PBE-GGA).

## Properties
As for the space group: No. 123.

Unit cell a=4.5003 b=4.9070 c=4.9070 alpha=90.00 beta=90.00 gamma=90.00
With the nearest neighbours (Å) after each atom.
Element x y z (fractional)
Pb  0.0000  0.0000  0.5000  4 Gd 3.33, 4 Mg 3.33, 4 Pb 3.47
Pb  0.0000  0.5000  0.0000  4 Gd 3.33, 4 Mg 3.33, 4 Pb 3.47
Mg  0.5000  0.0000  0.0000  8 Pb 3.33, 4 Gd 3.47
Gd  0.5000  0.5000  0.5000  8 Pb 3.33, 4 Mg 3.47

=====

*Q*
Entry from Alexandria via LeMat-Bulk: an optimized crystal structure of GdMgPb2 (PBE-GGA).

## Properties
As for the space group: No. 225.

Unit cell a=5.3939 b=5.3939 c=5.3939 alpha=60.00 beta=60.00 gamma=60.00
With the nearest neighbours (Å) after each atom.
Element x y z (fractional)
Pb  0.2500  0.2500  0.2500  4 Gd 3.30, 4 Mg 3.30
Pb  0.7500  0.7500  0.7500  4 Gd 3.30, 4 Mg 3.30
Mg  0.5000  0.5000  0.5000  8 Pb 3.30
Gd  0.0000  0.0000  0.0000  8 Pb 3.30

=====

Which of them is most stable? Easy: *P*.

=====

*P*
Entry from Alexandria via LeMat-Bulk: an optimized crystal structure of GdMgPd (PBE-GGA).

## Properties
As for the space group: No. 189.

Unit cell a=7.5299 b=7.5299 c=4.0777 alpha=90.00 beta=90.00 gamma=120.00
With the nearest neighbours (Å) after each atom.
Element x y z (fractional)
Gd  0.0000  0.4133  0.0000  5 Pd 3.05-3.11, 6 Mg 3.29-3.39
Gd  0.5867  0.5867  0.0000  5 Pd 3.05-3.11, 6 Mg 3.29-3.39
Gd  0.4133  0.0000  0.0000  5 Pd 3.05-3.11, 6 Mg 3.29-3.39
Mg  0.0000  0.7570  0.5000  4 Pd 2.74-2.91
Mg  0.2430  0.2430  0.5000  4 Pd 2.74-2.91
Mg  0.7570  0.0000  0.5000  4 Pd 2.74-2.91
Pd  0.3333  0.6667  0.5000  3 Mg 2.91, 6 Gd 3.05
Pd  0.6667  0.3333  0.5000  3 Mg 2.91, 6 Gd 3.05
Pd  0.0000  0.0000  0.0000  6 Mg 2.74

=====

*Q*
Entry from Alexandria via LeMat-Bulk: an optimized crystal structure of GdMgPd (PBE-GGA).

## Properties
As for the space group: No. 107.

Unit cell a=3.4524 b=3.4524 c=6.0811 alpha=106.49 beta=106.49 gamma=90.00
With the nearest neighbours (Å) after each atom.
Element x y z (fractional)
Mg  0.3131  0.3131  0.6261  4 Pd 2.82
Gd  0.5979  0.5979  0.1957  4 Pd 3.01, 1 Mg 3.17
Pd  0.9391  0.9391  0.8781  4 Mg 2.82, 4 Gd 3.01

=====

Which of them is most stable? Easy: *P*.

=====

*P*
Entry from Alexandria via LeMat-Bulk: an optimized crystal structure of GdMgPd (PBE-GGA).

## Properties
As for the space group: No. 216.

Unit cell a=4.7395 b=4.7395 c=4.7395 alpha=60.00 beta=60.00 gamma=60.00
With the nearest neighbours (Å) after each atom.
Element x y z (fractional)
Mg  0.5000  0.5000  0.5000  4 Pd 2.90
Gd  0.0000  0.0000  0.0000  4 Pd 2.90
Pd  0.2500  0.2500  0.2500  4 Gd 2.90, 4 Mg 2.90

=====

*Q*
Entry from Alexandria via LeMat-Bulk: an optimized crystal structure of GdMgPd (PBE-GGA).

## Properties
As for the space group: No. 187.

Unit cell a=3.6068 b=4.6540 c=4.6540 alpha=120.00 beta=90.00 gamma=90.00
With the nearest neighbours (Å) after each atom.
Element x y z (fractional)
Mg  0.1669  0.0000  0.0000  3 Pd 2.69
Gd  0.6668  0.6667  0.3333  6 Pd 3.24, 6 Mg 3.24, 2 Gd 3.61
Pd  0.1663  0.3333  0.6667  3 Mg 2.69

=====

Which of them is most stable? Easy: *P*.

=====

*P*
Entry from Alexandria via LeMat-Bulk: an optimized crystal structure of PmGdMg (PBE-GGA).

## Properties
As for the space group: No. 107.

Unit cell a=3.7384 b=3.7384 c=7.0150 alpha=105.45 beta=105.45 gamma=90.00
With the nearest neighbours (Å) after each atom.
Element x y z (fractional)
Mg  0.6679  0.6679  0.3357  4 Gd 3.34, 4 Pm 3.36
Gd  0.3244  0.3244  0.6487  4 Mg 3.34, 4 Pm 3.56
Pm  0.0078  0.0078  0.0155  4 Mg 3.36, 4 Gd 3.56, 4 Pm 3.74

=====

*Q*
Entry from Alexandria via LeMat-Bulk: an optimized crystal structure of PmGdMg (PBE-GGA).

## Properties
As for the space group: No. 156.

Unit cell a=3.4323 b=5.5075 c=5.5075 alpha=120.00 beta=90.00 gamma=90.00
With the nearest neighbours (Å) after each atom.
Element x y z (fractional)
Mg  0.6553  0.6667  0.3333  3 Gd 3.31, 3 Pm 3.35, 2 Mg 3.43
Gd  0.3831  0.3333  0.6667  3 Mg 3.31, 2 Gd 3.43, 3 Pm 3.49
Pm  0.9616  0.0000  0.0000  3 Mg 3.35, 2 Pm 3.43, 6 Gd 3.49-3.75

=====

Which of them is most stable? Easy: *P*.

=====

*P*
Entry from Alexandria via LeMat-Bulk: an optimized crystal structure of PrGd2Mg (PBE-GGA).

## Properties
As for the space group: No. 123.

Unit cell a=3.6691 b=3.6691 c=9.2859 alpha=90.00 beta=90.00 gamma=90.00
With the nearest neighbours (Å) after each atom.
Element x y z (fractional)
Pr  0.5000  0.5000  0.5000  8 Gd 3.63, 4 Pr 3.67
Mg  0.5000  0.5000  0.0000  8 Gd 3.34, 4 Mg 3.67
Gd  0.0000  0.0000  0.7729  4 Mg 3.34, 4 Pr 3.63, 4 Gd 3.67
Gd  0.0000  0.0000  0.2271  4 Mg 3.34, 4 Pr 3.63, 4 Gd 3.67

=====

*Q*
Entry from Alexandria via LeMat-Bulk: an optimized crystal structure of PrGd2Mg (PBE-GGA).

## Properties
As for the space group: No. 166.

Unit cell a=3.5051 b=3.5051 c=12.5897 alpha=82.00 beta=82.00 gamma=60.00
With the nearest neighbours (Å) after each atom.
Element x y z (fractional)
Pr  0.5000  0.5000  0.5000  6 Pr 3.51, 6 Gd 3.56
Mg  0.0000  0.0000  0.0000  2 Gd 3.28, 6 Mg 3.51
Gd  0.0881  0.0881  0.7357  1 Mg 3.28, 6 Gd 3.51, 3 Pr 3.56
Gd  0.9119  0.9119  0.2643  1 Mg 3.28, 6 Gd 3.51, 3 Pr 3.56

=====

*R*
Entry from Alexandria via LeMat-Bulk: an optimized crystal structure of PrGd2Mg (PBE-GGA).

## Properties
As for the space group: No. 123.

Unit cell a=5.0310 b=4.9784 c=4.9784 alpha=90.00 beta=90.00 gamma=90.00
With the nearest neighbours (Å) after each atom.
Element x y z (fractional)
Pr  0.5000  0.5000  0.5000  4 Mg 3.52, 8 Gd 3.54
Mg  0.5000  0.0000  0.0000  4 Pr 3.52, 8 Gd 3.54
Gd  0.0000  0.0000  0.5000  4 Gd 3.52, 4 Pr 3.54, 4 Mg 3.54
Gd  0.0000  0.5000  0.0000  4 Gd 3.52, 4 Pr 3.54, 4 Mg 3.54

=====

*S*
Entry from Alexandria via LeMat-Bulk: an optimized crystal structure of PrGd2Mg (PBE-GGA).

## Properties
As for the space group: No. 225.

Unit cell a=5.5918 b=5.5918 c=5.5918 alpha=60.00 beta=60.00 gamma=60.00
With the nearest neighbours (Å) after each atom.
Element x y z (fractional)
Pr  0.0000  0.0000  0.0000  8 Gd 3.42
Mg  0.5000  0.5000  0.5000  8 Gd 3.42
Gd  0.2500  0.2500  0.2500  4 Pr 3.42, 4 Mg 3.42
Gd  0.7500  0.7500  0.7500  4 Mg 3.42, 4 Pr 3.42

=====

Which of them is most stable? Easy: *P*.

=====

*P*
Entry from Alexandria via LeMat-Bulk: an optimized crystal structure of Gd2PuMg (PBE-GGA).

## Properties
As for the space group: No. 225.

Unit cell a=5.4565 b=5.4565 c=5.4565 alpha=60.00 beta=60.00 gamma=60.00
With the nearest neighbours (Å) after each atom.
Element x y z (fractional)
Mg  0.5000  0.5000  0.5000  8 Gd 3.34
Gd  0.2500  0.2500  0.2500  4 Mg 3.34, 4 Pu 3.34
Gd  0.7500  0.7500  0.7500  4 Mg 3.34, 4 Pu 3.34
Pu  0.0000  0.0000  0.0000  8 Gd 3.34

=====

*Q*
Entry from Alexandria via LeMat-Bulk: an optimized crystal structure of Gd2PuMg (PBE-GGA).

## Properties
As for the space group: No. 123.

Unit cell a=3.5416 b=3.5416 c=9.3145 alpha=90.00 beta=90.00 gamma=90.00
With the nearest neighbours (Å) after each atom.
Element x y z (fractional)
Mg  0.5000  0.5000  0.0000  8 Gd 3.36, 4 Mg 3.54
Gd  0.0000  0.0000  0.7587  4 Mg 3.36, 4 Pu 3.48, 4 Gd 3.54
Gd  0.0000  0.0000  0.2413  4 Mg 3.36, 4 Pu 3.48, 4 Gd 3.54
Pu  0.5000  0.5000  0.5000  8 Gd 3.48, 4 Pu 3.54

=====

*R*
Entry from Alexandria via LeMat-Bulk: an optimized crystal structure of Gd2PuMg (PBE-GGA).

## Properties
As for the space group: No. 166.

Unit cell a=3.3919 b=3.3919 c=12.1804 alpha=82.00 beta=82.00 gamma=60.00
With the nearest neighbours (Å) after each atom.
Element x y z (fractional)
Mg  0.5000  0.5000  0.5000  6 Gd 3.38, 6 Mg 3.39
Gd  0.0903  0.0903  0.7292  1 Pu 3.26, 3 Mg 3.38, 6 Gd 3.39
Gd  0.9097  0.9097  0.2708  1 Pu 3.26, 3 Mg 3.38, 6 Gd 3.39
Pu  0.0000  0.0000  0.0000  2 Gd 3.26, 6 Pu 3.39

=====

Which of them is most stable? Easy: *Q*.